Entry a
{"formula": "Al2CdSe2", "functional": "PBE", "state": "relaxed", "space_group": "No. 139", "cell": [[-2.3772, 2.3772, 5.7062], [2.3772, -2.3772, 5.7062], [2.3772, 2.3772, -5.7062]], "species": ["Al", "Al", "Cd", "Se", "Se"], "frac_coords": [[0.2500, 0.7500, 0.5000], [0.7500, 0.2500, 0.5000], [0.0000, 0.0000, 0.0000], [0.3430, 0.3430, 0.0000], [0.6570, 0.6570, 0.0000]]}

=====

Entry b
{"formula": "Al2CdSe2", "functional": "PBE", "state": "relaxed", "space_group": "No. 127", "cell": [[7.7449, 0.0000, 0.0000], [0.0000, 7.7449, 0.0000], [0.0000, 0.0000, 3.4982]], "species": ["Al", "Al", "Al", "Al", "Cd", "Cd", "Se", "Se", "Se", "Se"], "frac_coords": [[0.1521, 0.3479, 0.0000], [0.3479, 0.8479, 0.0000], [0.6521, 0.1521, 0.0000], [0.8479, 0.6521, 0.0000], [0.0000, 0.0000, 0.5000], [0.5000, 0.5000, 0.5000], [0.1537, 0.6537, 0.5000], [0.3463, 0.1537, 0.5000], [0.6537, 0.8463, 0.5000], [0.8463, 0.3463, 0.5000]]}

=====

Most stable one: entry a, least stable one: entry b.

=====

Entry a
{"formula": "AlCd3Se4", "functional": "PBE", "state": "relaxed", "space_group": "No. 215", "cell": [[6.1589, 0.0000, 0.0000], [0.0000, 6.1589, 0.0000], [0.0000, 0.0000, 6.1589]], "species": ["Al", "Cd", "Cd", "Cd", "Se", "Se", "Se", "Se"], "frac_coords": [[0.0000, 0.0000, 0.0000], [0.0000, 0.5000, 0.5000], [0.5000, 0.0000, 0.5000], [0.5000, 0.5000, 0.0000], [0.2326, 0.2326, 0.2326], [0.2326, 0.7674, 0.7674], [0.7674, 0.2326, 0.7674], [0.7674, 0.7674, 0.2326]]}

=====

Entry b
{"formula": "AlCd3Se4", "functional": "PBE", "state": "relaxed", "space_group": "No. 121", "cell": [[-3.1243, 3.1243, 5.9920], [3.1243, -3.1243, 5.9920], [3.1243, 3.1243, -5.9920]], "species": ["Al", "Cd", "Cd", "Cd", "Se", "Se", "Se", "Se"], "frac_coords": [[0.0000, 0.0000, 0.0000], [0.2500, 0.7500, 0.5000], [0.5000, 0.5000, 0.0000], [0.7500, 0.2500, 0.5000], [0.1092, 0.1092, 0.4538], [0.3446, 0.8908, 0.0000], [0.6554, 0.6554, 0.5462], [0.8908, 0.3446, 0.0000]]}

=====

Most stable one: entry b, least stable one: entry a.

=====

Entry a
{"formula": "AlCdSi2", "functional": "PBE", "state": "relaxed", "space_group": "No. 71", "cell": [[-1.3641, 2.5310, 5.1926], [1.3641, -2.5310, 5.1926], [1.3641, 2.5310, -5.1926]], "species": ["Al", "Cd", "Si", "Si"], "frac_coords": [[0.0000, 0.0000, 0.0000], [0.5000, 0.5000, 0.0000], [0.2293, 0.7293, 0.5000], [0.7707, 0.2707, 0.5000]]}

=====

Entry b
{"formula": "AlCdSi2", "functional": "PBE", "state": "relaxed", "space_group": "No. 10", "cell": [[2.8808, 0.0000, 0.0000], [0.0000, 4.6527, 0.0000], [-1.0600, 0.0000, 5.6675]], "species": ["Al", "Cd", "Si", "Si"], "frac_coords": [[0.0000, 0.0000, 0.0000], [0.5000, 0.0000, 0.5000], [0.3225, 0.5000, 0.1823], [0.6775, 0.5000, 0.8177]]}

=====

Entry c
{"formula": "AlCdSi2", "functional": "PBE", "state": "relaxed", "space_group": "No. 47", "cell": [[2.9335, 0.0000, 0.0000], [0.0000, 3.6682, 0.0000], [0.0000, 0.0000, 6.7683]], "species": ["Al", "Cd", "Si", "Si"], "frac_coords": [[0.0000, 0.0000, 0.0000], [0.0000, 0.0000, 0.5000], [0.5000, 0.5000, 0.1956], [0.5000, 0.5000, 0.8044]]}

=====

Most stable one: entry c, least stable one: entry a.

=====

Entry a
{"formula": "AlCdSi2", "functional": "PBE", "state": "relaxed", "space_group": "No. 6", "cell": [[2.7167, 0.0000, 0.0000], [0.0000, 3.5976, 0.0000], [-0.0794, 0.0000, 7.6040]], "species": ["Al", "Cd", "Si", "Si"], "frac_coords": [[0.0000, 0.0000, 0.0000], [0.4975, 0.5000, 0.7228], [0.4923, 0.0000, 0.4257], [0.4945, 0.5000, 0.2048]]}

=====

Entry b
{"formula": "AlCdSi2", "functional": "PBE", "state": "relaxed", "space_group": "No. 12", "cell": [[4.4380, -1.4283, 0.0000], [4.4380, 1.4283, 0.0000], [-0.7274, 0.0000, 5.8123]], "species": ["Al", "Cd", "Si", "Si"], "frac_coords": [[0.0000, 0.0000, 0.0000], [0.5000, 0.5000, 0.5000], [0.2545, 0.2545, 0.8075], [0.7455, 0.7455, 0.1925]]}

=====

Most stable one: entry a, least stable one: entry b.

=====

Entry a
{"formula": "AlCd2Si", "functional": "PBE", "state": "relaxed", "space_group": "No. 119", "cell": [[-2.1483, 2.1483, 4.3080], [2.1483, -2.1483, 4.3080], [2.1483, 2.1483, -4.3080]], "species": ["Al", "Cd", "Cd", "Si"], "frac_coords": [[0.0000, 0.0000, 0.0000], [0.2500, 0.7500, 0.5000], [0.5000, 0.5000, 0.0000], [0.7500, 0.2500, 0.5000]]}

=====

Entry b
{"formula": "AlCd2Si", "functional": "PBE", "state": "relaxed", "space_group": "No. 25", "cell": [[2.8630, 0.0000, 0.0000], [0.0000, 3.6515, 0.0000], [0.0000, 0.0000, 7.6702]], "species": ["Al", "Cd", "Cd", "Si"], "frac_coords": [[0.0000, 0.0000, 0.0000], [0.0000, 0.0000, 0.5570], [0.5000, 0.5000, 0.2675], [0.5000, 0.5000, 0.8236]]}

=====

Most stable one: entry b, least stable one: entry a.

=====

Entry a
{"formula": "Al3CdSi", "functional": "PBE", "state": "relaxed", "space_group": "No. 221", "cell": [[4.8448, 0.0000, 0.0000], [0.0000, 4.8448, 0.0000], [0.0000, 0.0000, 4.8448]], "species": ["Al", "Al", "Al", "Cd", "Si"], "frac_coords": [[0.0000, 0.0000, 0.5000], [0.0000, 0.5000, 0.0000], [0.5000, 0.0000, 0.0000], [0.5000, 0.5000, 0.5000], [0.0000, 0.0000, 0.0000]]}

=====

Entry b
{"formula": "Al3CdSi", "functional": "PBE", "state": "relaxed", "space_group": "No. 221", "cell": [[4.9933, 0.0000, 0.0000], [0.0000, 4.9933, 0.0000], [0.0000, 0.0000, 4.9933]], "species": ["Al", "Al", "Al", "Cd", "Si"], "frac_coords": [[0.0000, 0.0000, 0.5000], [0.0000, 0.5000, 0.0000], [0.5000, 0.0000, 0.0000], [0.0000, 0.0000, 0.0000], [0.5000, 0.5000, 0.5000]]}

=====

Most stable one: entry a, least stable one: entry b.

=====

Entry a
{"formula": "Sm4AlCd3", "functional": "PBE", "state": "relaxed", "space_group": "No. 123", "cell": [[3.7414, 0.0000, 0.0000], [0.0000, 3.7414, 0.0000], [0.0000, 0.0000, 15.4708]], "species": ["Sm", "Sm", "Sm", "Sm", "Al", "Cd", "Cd", "Cd"], "frac_coords": [[0.0000, 0.0000, 0.1163], [0.0000, 0.0000, 0.3719], [0.0000, 0.0000, 0.6281], [0.0000, 0.0000, 0.8837], [0.5000, 0.5000, 0.0000], [0.5000, 0.5000, 0.2451], [0.5000, 0.5000, 0.5000], [0.5000, 0.5000, 0.7549]]}

=====

Entry b
{"formula": "Sm4AlCd3", "functional": "PBE", "state": "relaxed", "space_group": "No. 25", "cell": [[3.6315, 0.0000, 0.0000], [0.0000, 4.8768, 0.0000], [0.0000, 0.0000, 12.3421]], "species": ["Sm", "Sm", "Sm", "Sm", "Al", "Cd", "Cd", "Cd"], "frac_coords": [[0.0000, 0.0000, 0.0000], [0.0000, 0.5000, 0.3112], [0.5000, 0.0000, 0.4894], [0.5000, 0.5000, 0.8161], [0.5000, 0.0000, 0.2253], [0.0000, 0.0000, 0.7246], [0.0000, 0.5000, 0.5837], [0.5000, 0.5000, 0.0882]]}

=====

Most stable one: entry a, least stable one: entry b.

=====

Entry a
{"formula": "Sm4Al3Cd", "functional": "PBE", "state": "relaxed", "space_group": "No. 123", "cell": [[5.2576, 0.0000, 0.0000], [0.0000, 5.2576, 0.0000], [0.0000, 0.0000, 7.4462]], "species": ["Sm", "Sm", "Sm", "Sm", "Al", "Al", "Al", "Cd"], "frac_coords": [[0.0000, 0.5000, 0.2462], [0.0000, 0.5000, 0.7538], [0.5000, 0.0000, 0.2462], [0.5000, 0.0000, 0.7538], [0.0000, 0.0000, 0.0000], [0.0000, 0.0000, 0.5000], [0.5000, 0.5000, 0.0000], [0.5000, 0.5000, 0.5000]]}

=====

Entry b
{"formula": "Sm4Al3Cd", "functional": "PBE", "state": "relaxed", "space_group": "No. 25", "cell": [[3.7572, 0.0000, 0.0000], [0.0000, 4.6387, 0.0000], [0.0000, 0.0000, 12.1088]], "species": ["Sm", "Sm", "Sm", "Sm", "Al", "Al", "Al", "Cd"], "frac_coords": [[0.0000, 0.0000, 0.0000], [0.0000, 0.5000, 0.3053], [0.5000, 0.0000, 0.4921], [0.5000, 0.5000, 0.8114], [0.0000, 0.5000, 0.5815], [0.5000, 0.0000, 0.2181], [0.5000, 0.5000, 0.0865], [0.0000, 0.0000, 0.7173]]}

=====

Most stable one: entry a, least stable one: entry b.